1.
Compound: LiIn4Pb2
Source: Alexandria via LeMat-Bulk
Functional: PBE
Structure: relaxed

Values from the calculation:
Energy above the most stable polymorph in this dataset: 0.0 meV per atom
DFT formation energy: -0.03 eV/atom

a b c (Å): 4.415 6.644 6.644
angles (deg): 95.69 90.00 90.00
Positions (direct):
Li1 0.000 0.000 0.000
In1 0.500 0.780 0.220
In2 0.000 0.000 0.500
In3 0.500 0.220 0.780
In4 0.000 0.500 0.000
Pb1 0.500 0.295 0.295
Pb2 0.500 0.705 0.705


2.
Compound: LaPrDyS3
Source: Alexandria via LeMat-Bulk
Functional: PBE
Structure: relaxed

Values from the calculation:
Energy relative to the elements, uncorrected: -1964 meV/atom

a b c (Å): 3.957 6.994 10.631
angles (deg): 102.42 90.00 90.00
Positions (direct):
S1 0.250 0.716 0.508
S2 0.250 0.455 0.848
S3 0.750 0.051 0.150
S4 0.750 0.545 0.152
S5 0.750 0.284 0.492
S6 0.250 0.949 0.850
La1 0.750 0.650 0.698
La2 0.250 0.350 0.302
Pr1 0.750 0.874 0.367
Pr2 0.250 0.126 0.633
Dy1 0.750 0.232 0.945
Dy2 0.250 0.768 0.055


3.
Compound: NbB2TeF
Source: Alexandria via LeMat-Bulk
Functional: PBE
Structure: relaxed

Values from the calculation:
Energy relative to the elements, uncorrected: 415 meV/atom
Energy above the most stable polymorph in this dataset: 0.0 meV per atom

a b c (Å): 4.497 4.057 4.497
angles (deg): 90.00 90.00 90.00
Positions (direct):
B1 0.000 0.000 0.500
B2 0.500 0.000 0.000
Nb1 0.000 0.000 0.000
F1 0.000 0.500 0.000
Te1 0.500 0.500 0.500


4.
Compound: CsCaN
Source: Alexandria via LeMat-Bulk
Functional: PBE
Structure: relaxed

Values from the calculation:
Energy relative to the elements, uncorrected: -202 meV/atom

a b c (Å): 4.147 4.148 12.271
angles (deg): 80.50 90.00 120.00
Positions (direct):
N1 0.125 0.251 0.127
N2 0.875 0.749 0.873
Cs1 0.597 0.194 0.702
Cs2 0.403 0.806 0.298
Ca1 0.806 0.613 0.083
Ca2 0.194 0.387 0.917


5.
Compound: Li2Ca2Ga5Rh
Source: Alexandria via LeMat-Bulk
Functional: PBE
Structure: relaxed

Values from the calculation:
DFT formation energy: -0.38 eV/atom

a b c (Å): 3.556 10.245 10.245
angles (deg): 90.00 90.00 90.00
Positions (direct):
Ca1 0.000 0.677 0.177
Ca2 0.000 0.823 0.677
Ca3 0.000 0.323 0.823
Ca4 0.000 0.177 0.323
Ga1 0.500 0.316 0.551
Ga2 0.500 0.500 0.000
Ga3 0.500 0.449 0.316
Ga4 0.500 0.684 0.449
Ga5 0.500 0.000 0.500
Ga6 0.500 0.949 0.184
Ga7 0.500 0.184 0.051
Ga8 0.500 0.051 0.816
Ga9 0.500 0.551 0.684
Ga10 0.500 0.816 0.949
Li1 0.000 0.127 0.627
Li2 0.000 0.373 0.127
Li3 0.000 0.627 0.873
Li4 0.000 0.873 0.373
Rh1 0.000 0.000 0.000
Rh2 0.000 0.500 0.500


6.
Compound: Ba2TlBr
Source: Alexandria via LeMat-Bulk
Functional: PBE
Structure: relaxed

Values from the calculation:
Energy relative to the elements, uncorrected: -756 meV/atom
Energy above the most stable polymorph in this dataset: 234.3 meV per atom

a b c (Å): 8.081 8.081 8.081
angles (deg): 145.00 145.00 50.33
Positions (direct):
Br1 0.500 0.500 0.000
Ba1 0.250 0.750 0.500
Ba2 0.000 0.000 0.000
Tl1 0.750 0.250 0.500


7.
Compound: CsSrTeS2
Source: Alexandria via LeMat-Bulk
Functional: PBE
Structure: relaxed

Values from the calculation:
Energy relative to the elements, uncorrected: -1102 meV/atom

a b c (Å): 5.932 8.218 7.739
angles (deg): 104.50 90.00 90.00
Positions (direct):
Cs1 0.800 0.500 0.250
Cs2 0.200 0.500 0.750
Te1 0.000 0.000 0.000
Te2 0.000 0.000 0.500
S1 0.688 0.240 0.561
S2 0.312 0.240 0.061
S3 0.312 0.760 0.439
S4 0.688 0.760 0.939
Sr1 0.492 0.000 0.250
Sr2 0.508 0.000 0.750


8.
Compound: PrSc2Tc
Source: Alexandria via LeMat-Bulk
Functional: PBE
Structure: relaxed

Values from the calculation:
Energy above the most stable polymorph in this dataset: 155.9 meV per atom
DFT formation energy: 0.06 eV/atom

a b c (Å): 3.334 3.334 10.048
angles (deg): 80.45 80.45 60.00
Positions (direct):
Tc1 0.000 0.000 0.000
Sc1 0.730 0.730 0.809
Sc2 0.270 0.270 0.191
Pr1 0.500 0.500 0.500


9.
Compound: ZnHAu
Source: Alexandria via LeMat-Bulk
Functional: PBE
Structure: relaxed

Values from the calculation:
Energy above the most stable polymorph in this dataset: 0.0 meV per atom

a b c (Å): 2.842 2.842 11.042
angles (deg): 83.26 96.73 86.54
Positions (direct):
H1 0.018 0.482 0.537
H2 0.982 0.518 0.463
Zn1 0.706 0.795 0.912
Zn2 0.294 0.205 0.088
Au1 0.881 0.619 0.263
Au2 0.119 0.381 0.737


10.
Compound: Rb2NaZn2H5C4O14
Source: Alexandria via LeMat-Bulk
Functional: PBE
Structure: relaxed

Values from the calculation:
Energy: -6.06 eV per atom

a b c (Å): 5.243 10.836 11.630
angles (deg): 90.00 90.00 91.70
Positions (direct):
C1 0.025 0.319 0.569
C2 0.006 0.438 0.874
C3 0.994 0.562 0.126
C4 0.494 0.062 0.374
C5 0.506 0.938 0.626
C6 0.475 0.181 0.069
C7 0.975 0.681 0.431
C8 0.525 0.819 0.931
O1 0.230 0.169 0.060
O2 0.632 0.963 0.384
O3 0.598 0.168 0.403
O4 0.098 0.668 0.097
O5 0.737 0.948 0.663
O6 0.132 0.463 0.116
O7 0.770 0.831 0.940
O8 0.995 0.756 0.717
O9 0.586 0.281 0.108
O10 0.263 0.052 0.337
O11 0.617 0.089 0.039
O12 0.868 0.537 0.884
O13 0.914 0.219 0.608
O14 0.902 0.332 0.903
O15 0.414 0.719 0.892
O16 0.117 0.589 0.461
O17 0.368 0.037 0.616
O18 0.505 0.744 0.217
O19 0.730 0.669 0.440
O20 0.005 0.244 0.283
O21 0.086 0.781 0.392
O22 0.270 0.331 0.560
O23 0.237 0.448 0.837
O24 0.763 0.552 0.163
O25 0.402 0.832 0.597
O26 0.383 0.911 0.961
O27 0.883 0.411 0.539
O28 0.495 0.256 0.783
Zn1 0.971 0.294 0.108
Zn2 0.471 0.794 0.392
Zn3 0.029 0.706 0.892
Zn4 0.529 0.206 0.608
H1 0.374 0.325 0.802
H2 0.154 0.782 0.673
H3 0.874 0.825 0.698
H4 0.626 0.675 0.198
H5 0.500 0.000 0.000
H6 0.346 0.718 0.173
H7 0.846 0.218 0.327
H8 0.654 0.282 0.827
H9 0.126 0.175 0.302
H10 0.000 0.500 0.500
Rb1 0.533 0.579 0.666
Rb2 0.967 0.921 0.166
Rb3 0.033 0.079 0.834
Rb4 0.467 0.421 0.334
Na1 0.000 0.000 0.500
Na2 0.500 0.500 0.000


11.
Compound: ThBiSb
Source: Alexandria via LeMat-Bulk
Functional: PBE
Structure: relaxed

Values from the calculation:
Energy relative to the elements, uncorrected: -652 meV/atom
Energy above the most stable polymorph in this dataset: 26.7 meV per atom

a b c (Å): 4.495 4.495 9.828
angles (deg): 103.22 103.22 90.00
Positions (direct):
Bi1 0.000 0.500 0.000
Bi2 0.500 0.000 0.000
Th1 0.645 0.645 0.290
Th2 0.355 0.355 0.710
Sb1 0.182 0.182 0.363
Sb2 0.818 0.818 0.637


12.
Compound: PrEuHoLu
Source: Alexandria via LeMat-Bulk
Functional: PBE
Structure: relaxed

Values from the calculation:
DFT formation energy: 0.15 eV/atom

a b c (Å): 5.770 5.770 5.770
angles (deg): 60.00 60.00 60.00
Last column: magnetic moment on the atom in μB.
Positions (direct):
Eu1 0.000 0.000 0.000  -6.85
Ho1 0.750 0.750 0.750  -0.10
Pr1 0.250 0.250 0.250  -0.10
Lu1 0.500 0.500 0.500  -0.09


13.
Compound: Ce2H8Rh
Source: Alexandria via LeMat-Bulk
Functional: PBE
Structure: relaxed

Values from the calculation:
Energy: -4.51 eV per atom

a b c (Å): 3.860 4.549 6.458
angles (deg): 110.62 107.39 90.00
Last column: magnetic moment on the atom in μB.
Positions (direct):
Ce1 0.841 0.341 0.682  0.76
Ce2 0.159 0.659 0.318  0.76
H1 0.000 0.200 0.000  0.00
H2 0.379 0.654 0.757  0.00
H3 0.769 0.769 0.538  -0.01
H4 0.621 0.346 0.243  0.00
H5 0.231 0.231 0.462  -0.01
H6 0.000 0.800 0.000  0.00
H7 0.379 0.103 0.757  0.00
H8 0.621 0.897 0.243  0.00
Rh1 0.500 0.000 0.000  0.20


14.
Compound: CuRu2Pb
Source: Alexandria via LeMat-Bulk
Functional: PBE
Structure: relaxed

Values from the calculation:
DFT formation energy: 0.56 eV/atom

a b c (Å): 9.230 9.230 9.230
angles (deg): 18.34 18.34 18.34
Positions (direct):
Ru1 0.990 0.990 0.990
Ru2 0.252 0.252 0.252
Pb1 0.750 0.750 0.750
Cu1 0.509 0.509 0.509


15.
Compound: BaMg6Pb12
Source: Alexandria via LeMat-Bulk
Functional: PBE
Structure: relaxed

Values from the calculation:
DFT formation energy: 0.00 eV/atom

a b c (Å): 9.040 9.040 9.040
angles (deg): 109.47 109.47 109.47
Positions (direct):
Pb1 0.187 0.720 0.907
Pb2 0.466 0.187 0.280
Pb3 0.813 0.280 0.093
Pb4 0.280 0.466 0.187
Pb5 0.907 0.187 0.720
Pb6 0.187 0.280 0.466
Pb7 0.534 0.813 0.720
Pb8 0.720 0.907 0.187
Pb9 0.720 0.534 0.813
Pb10 0.093 0.813 0.280
Pb11 0.813 0.720 0.534
Pb12 0.280 0.093 0.813
Mg1 0.500 0.859 0.359
Mg2 0.500 0.141 0.641
Mg3 0.641 0.500 0.141
Mg4 0.141 0.641 0.500
Mg5 0.359 0.500 0.859
Mg6 0.859 0.359 0.500
Ba1 0.000 0.000 0.000


16.
Compound: DySi2Pd
Source: Alexandria via LeMat-Bulk
Functional: PBE
Structure: relaxed

Values from the calculation:
Energy relative to the elements, uncorrected: -503 meV/atom

a b c (Å): 3.882 4.614 4.614
angles (deg): 96.58 90.00 90.00
Positions (direct):
Si1 0.500 0.515 0.119
Si2 0.500 0.881 0.485
Dy1 0.000 0.000 0.000
Pd1 0.500 0.384 0.616


17.
Compound: Li2PtPb2O6
Source: Alexandria via LeMat-Bulk
Functional: PBE
Structure: relaxed

Values from the calculation:
Energy relative to the elements, uncorrected: -1010 meV/atom

a b c (Å): 5.819 5.819 6.110
angles (deg): 61.56 61.56 60.00
Positions (direct):
Pt1 0.000 0.000 0.000
Li1 0.593 0.593 0.220
Li2 0.407 0.407 0.780
Pb1 0.204 0.204 0.387
Pb2 0.796 0.796 0.613
O1 0.783 0.234 0.750
O2 0.217 0.766 0.250
O3 0.234 0.783 0.750
O4 0.234 0.234 0.750
O5 0.766 0.766 0.250
O6 0.766 0.217 0.250


18.
Compound: Ac4CoBr2Cl
Source: Alexandria via LeMat-Bulk
Functional: PBE
Structure: relaxed

Values from the calculation:
Energy relative to the elements, uncorrected: -1002 meV/atom

a b c (Å): 4.217 7.810 8.453
angles (deg): 107.50 90.00 90.00
Positions (direct):
Ac1 0.500 0.742 0.790
Ac2 0.000 0.706 0.198
Ac3 0.000 0.294 0.802
Ac4 0.500 0.258 0.210
Br1 0.500 0.000 0.500
Br2 0.000 0.500 0.500
Cl1 0.000 0.000 0.000
Co1 0.500 0.500 0.000


19.
Compound: SrHg2Rh
Source: Alexandria via LeMat-Bulk
Functional: PBE
Structure: relaxed

Values from the calculation:
DFT formation energy: -0.17 eV/atom

a b c (Å): 4.166 4.334 6.028
angles (deg): 69.13 90.00 90.00
Positions (direct):
Hg1 0.000 0.042 0.041
Hg2 0.500 0.444 0.237
Sr1 0.500 0.727 0.672
Rh1 0.000 0.287 0.550


20.
Compound: LiGd2Cr
Source: Alexandria via LeMat-Bulk
Functional: PBE
Structure: relaxed

Values from the calculation:
DFT formation energy: 0.19 eV/atom

a b c (Å): 3.549 3.549 7.928
angles (deg): 90.00 90.00 90.00
Last column: magnetic moment on the atom in μB.
Positions (direct):
Li1 0.500 0.500 0.500  -0.02
Gd1 0.000 0.000 0.782  -7.18
Gd2 0.000 0.000 0.218  -7.18
Cr1 0.500 0.500 0.000  3.06


21.
Compound: Be4TcAu
Source: Alexandria via LeMat-Bulk
Functional: PBE
Structure: relaxed

Values from the calculation:
DFT formation energy: -0.06 eV/atom

a b c (Å): 4.469 4.469 4.469
angles (deg): 60.00 60.00 60.00
Positions (direct):
Be1 0.377 0.377 0.869
Be2 0.869 0.377 0.377
Be3 0.377 0.869 0.377
Be4 0.377 0.377 0.377
Au1 0.000 0.000 0.000
Tc1 0.750 0.750 0.750


22.
Compound: K2LiTbCl6
Source: Alexandria via LeMat-Bulk
Functional: PBE
Structure: relaxed

Values from the calculation:
Energy relative to the elements, uncorrected: -2067 meV/atom

a b c (Å): 7.356 7.356 7.356
angles (deg): 59.99 59.99 59.99
Positions (direct):
Cl1 0.253 0.253 0.746
Cl2 0.253 0.746 0.746
Cl3 0.253 0.746 0.253
Cl4 0.746 0.746 0.253
Cl5 0.746 0.253 0.746
Cl6 0.746 0.253 0.253
Tb1 0.000 0.000 0.000
K1 0.250 0.250 0.250
K2 0.750 0.750 0.750
Li1 0.500 0.500 0.500